# 1
## Sm3BiPt8 (PBE)

Data for a relaxed Sm3BiPt8 crystal.

Cell lengths 5.509, 5.509, 9.496 Å; angles 73.14, 73.14, 60.00 degrees
Atoms (fractional coordinates):
1 Pt 0.439 0.439 0.177
2 Pt 0.944 0.439 0.177
3 Pt 0.689 0.689 0.934
4 Pt 0.938 0.431 0.692
5 Pt 0.431 0.938 0.692
6 Pt 0.189 0.189 0.433
7 Pt 0.439 0.944 0.177
8 Pt 0.938 0.938 0.692
9 Bi 0.865 0.865 0.404
10 Sm 0.993 0.993 0.021
11 Sm 0.377 0.377 0.868
12 Sm 0.506 0.506 0.481

Properties
Space-group type: No. 160
Energy of formation from the pure elements, eV/atom: -0.90
Density, g/cm³: 15.679

***

# 2
## MnAl2Zn (PBE)

Data for a relaxed MnAl2Zn crystal.

Cell lengths 4.641, 4.641, 4.714 Å; angles 78.84, 78.84, 35.22 degrees
Atoms (fractional coordinates):
1 Al 0.493 0.493 0.514
2 Al 0.007 0.007 0.986
3 Mn 0.750 0.750 0.750
4 Zn 0.250 0.250 0.250

Properties
Space-group type: No. 12
Energy of formation from the pure elements, eV/atom: -0.06
Density, g/cm³: 5.048

***

Question: The highest density belongs to which entry?
Answer: Sm3BiPt8